No. 1
DFT (GGA-PBE) results for a geometry-optimized LaZnI3 structure.

Summary:
Uncorrected formation energy: -407 meV/atom
Space group: Pm-3m, No. 221
Energy above the lowest structure with this stoichiometry: 526 meV per atom
Final energy: -12.89 eV per formula unit

a b c (Å): 5.583 5.583 5.583
angles (deg): 90.00 90.00 90.00
Each line ends with the local moment (μB).
Positions (direct):
I  0.500  0.000  0.000  -0.01
I  0.000  0.000  0.500  -0.01
I  0.000  0.500  0.000  -0.01
La  0.500  0.500  0.500  0.54
Zn  0.000  0.000  0.000  0.01

No. 2
DFT (GGA-PBE) results for a geometry-optimized La3ZnI structure.

Summary:
Uncorrected formation energy: -63 meV/atom
Space group: Pm-3m, No. 221
Energy above the lowest structure with this stoichiometry: 0 meV per atom
Final energy: -17.92 eV per formula unit

a b c (Å): 5.770 5.770 5.770
angles (deg): 90.00 90.00 90.00
Each line ends with the local moment (μB).
Positions (direct):
I  0.500  0.500  0.500  0.01
La  0.000  0.000  0.500  0.08
La  0.000  0.500  0.000  0.08
La  0.500  0.000  0.000  0.12
Zn  0.000  0.000  0.000  0.00

No. 3
DFT (GGA-PBE) results for a geometry-optimized La2ZnI structure.

Summary:
Uncorrected formation energy: -608 meV/atom
Space group: R-3m, No. 166
Energy above the lowest structure with this stoichiometry: 3 meV per atom
Final energy: -15.11 eV per formula unit

a b c (Å): 4.384 4.384 8.294
angles (deg): 74.67 74.67 60.00
Positions (direct):
Zn  0.000  0.000  0.000
La  0.258  0.258  0.225
La  0.742  0.742  0.775
I  0.500  0.500  0.500

No. 4
DFT (GGA-PBE) results for a geometry-optimized La2Zn2I structure.

Summary:
Uncorrected formation energy: -675 meV/atom
Space group: R-3m, No. 166
Energy above the lowest structure with this stoichiometry: 0 meV per atom
Final energy: -17.33 eV per formula unit

a b c (Å): 4.474 4.474 8.581
angles (deg): 89.99 105.12 120.00
Positions (direct):
Zn  0.661  0.831  0.492
Zn  0.339  0.169  0.508
I  0.000  0.000  0.000
La  0.844  0.422  0.266
La  0.156  0.578  0.734

No. 5
DFT (GGA-PBE) results for a geometry-optimized La2ZnI structure.

Summary:
Uncorrected formation energy: -473 meV/atom
Space group: Fm-3m, No. 225
Energy above the lowest structure with this stoichiometry: 139 meV per atom
Final energy: -14.57 eV per formula unit

a b c (Å): 5.507 5.507 5.507
angles (deg): 60.00 60.00 60.00
Positions (direct):
Zn  0.000  0.000  0.000
La  0.250  0.250  0.250
La  0.750  0.750  0.750
I  0.500  0.500  0.500

No. 6
DFT (GGA-PBE) results for a geometry-optimized La2Zn2I structure.

Summary:
Uncorrected formation energy: -426 meV/atom
Space group: P4/mbm, No. 127
Energy above the lowest structure with this stoichiometry: 249 meV per atom
Final energy: -16.08 eV per formula unit

a b c (Å): 8.761 8.761 3.920
angles (deg): 90.00 90.00 90.00
Positions (direct):
La  0.183  0.317  0.000
La  0.317  0.817  0.000
La  0.683  0.183  0.000
La  0.817  0.683  0.000
Zn  0.606  0.894  0.500
Zn  0.106  0.606  0.500
Zn  0.894  0.394  0.500
Zn  0.394  0.106  0.500
I  0.500  0.500  0.000
I  0.000  0.000  0.000

No. 7
DFT (GGA-PBE) results for a geometry-optimized LaZn2I2 structure.

Summary:
Uncorrected formation energy: -327 meV/atom
Space group: I4/mmm, No. 139
Energy above the lowest structure with this stoichiometry: 0 meV per atom
Final energy: -12.21 eV per formula unit

a b c (Å): 6.008 6.008 5.987
angles (deg): 59.88 59.88 90.00
Positions (direct):
I  0.750  0.250  0.500
I  0.250  0.750  0.500
Zn  0.356  0.356  0.288
Zn  0.644  0.644  0.712
La  0.000  0.000  0.000

No. 8
DFT (GGA-PBE) results for a geometry-optimized La2ZnI structure.

Summary:
Uncorrected formation energy: -598 meV/atom
Space group: P4/mmm, No. 123
Energy above the lowest structure with this stoichiometry: 14 meV per atom
Final energy: -15.07 eV per formula unit

a b c (Å): 3.745 3.745 8.516
angles (deg): 90.00 90.00 90.00
Positions (direct):
La  0.000  0.000  0.220
La  0.000  0.000  0.780
I  0.500  0.500  0.500
Zn  0.500  0.500  0.000

No. 9
DFT (GGA-PBE) results for a geometry-optimized LaZn2I structure.

Summary:
Uncorrected formation energy: -40 meV/atom
Space group: Fm-3m, No. 225
Energy above the lowest structure with this stoichiometry: 125 meV per atom
Final energy: -9.19 eV per formula unit

a b c (Å): 5.339 5.339 5.339
angles (deg): 60.00 60.00 60.00
Positions (direct):
Zn  0.750  0.750  0.750
Zn  0.250  0.250  0.250
La  0.500  0.500  0.500
I  0.000  0.000  0.000

No. 10
DFT (GGA-PBE) results for a geometry-optimized La4ZnI3 structure.

Summary:
Uncorrected formation energy: -813 meV/atom
Space group: Cmmm, No. 65
Final energy: -32.14 eV per formula unit

a b c (Å): 4.526 7.953 7.953
angles (deg): 108.96 90.00 90.00
Positions (direct):
La  0.500  0.766  0.234
La  0.000  0.219  0.219
La  0.500  0.234  0.766
La  0.000  0.781  0.781
Zn  0.500  0.000  0.000
I  0.000  0.500  0.000
I  0.500  0.500  0.500
I  0.000  0.000  0.500

No. 11
DFT (GGA-PBE) results for a geometry-optimized La2ZnI structure.

Summary:
Uncorrected formation energy: -612 meV/atom
Space group: P6_3/mmc, No. 194
Energy above the lowest structure with this stoichiometry: 0 meV per atom
Final energy: -15.13 eV per formula unit

a b c (Å): 4.245 4.245 16.806
angles (deg): 90.00 90.00 120.00
Positions (direct):
I  0.667  0.333  0.250
I  0.333  0.667  0.750
La  0.667  0.333  0.611
La  0.333  0.667  0.389
La  0.667  0.333  0.889
La  0.333  0.667  0.111
Zn  0.000  0.000  0.500
Zn  0.000  0.000  0.000

No. 12
DFT (GGA-PBE) results for a geometry-optimized LaZnI structure.

Summary:
Uncorrected formation energy: -826 meV/atom
Space group: C2/m, No. 12
Final energy: -10.23 eV per formula unit

a b c (Å): 4.462 4.462 13.586
angles (deg): 81.20 81.20 119.16
Positions (direct):
La  0.362  0.362  0.152
La  0.638  0.638  0.848
I  0.704  0.704  0.327
I  0.296  0.296  0.673
Zn  0.831  0.169  0.000
Zn  0.169  0.831  0.000

> final energy of number 1 (LaZnI3)?

-12.89 eV per formula unit